The following is a PBE-GGA calculation of a relaxed structure of AgRh2Br2, from the Alexandria database.

## Properties
calculated total energy	-3.70	eV per atom
density	7.64	g/cm³
magnetic moment	0.00	μB per atom

a b c (Å): 4.997 4.997 8.242
angles (deg): 90.00 90.00 90.00
Space group I4/mmm (No. 139)
Inequivalent atoms, fractional coordinates:
Ag 0.000 0.000 0.000 [2 per cell]
Rh 0.000 0.000 0.331 [4 per cell]
Br 0.000 0.500 0.250 [4 per cell]